Computed, not measured: a relaxed Cs2KAg2 crystal at the PBE-GGA level of DFT.

Output
Symmetry ... Cmmm, No. 65
Distance to the lowest polymorph of the same formula ... 0.00 eV/f.u.
Spin magnetization ... 0.000 μB/f.u.
Formation energy ... 0.04 eV per atom
D(E_F) ... 3.19 states/eV/cell

abc: 5.526 5.202 9.338
angles: 106.17 90.00 90.00
Fractional coordinates of all 5 atoms:
Ag  0.000  0.214  0.429
Ag  0.000  0.786  0.571
Cs  0.500  0.650  0.299
Cs  0.500  0.350  0.701
K  0.000  0.000  0.000